5
Lattice="-2.438 -3.181 -2.547 4.073 -1.814 -1.633 0.116 -2.912 3.525" Properties=species:S:1:pos:R:3 comment="BaSrN2F (SCAN, PBEsol geometry)" raw_formation_energy_kj_per_mol_fu=-372.3 rho_g_cm3=4.38 magmom_total_mub_per_atom=0.6000 pbc="T T T"
F 0.058 -1.456 1.763
N 2.037 -0.907 -0.817
N -1.219 -1.590 -1.274
Ba 0.876 -3.954 -0.328
Sr 0.000 0.000 0.000

***

5
Lattice="4.554 0.000 0.000 0.000 4.554 0.000 0.000 0.000 4.882" Properties=species:S:1:pos:R:3 comment="BaSrNF2 (SCAN, PBEsol geometry)" raw_formation_energy_kj_per_mol_fu=-1119.2 rho_g_cm3=4.54 magmom_total_mub_per_atom=0.2000 pbc="T T T"
F 0.000 2.277 0.000
F 2.277 0.000 0.000
Sr 0.000 0.000 0.000
Ba 2.277 2.277 2.441
N 0.000 0.000 2.441

***

5
Lattice="-4.304 -0.644 0.368 0.697 -2.769 3.305 -0.664 8.657 7.393" Properties=species:S:1:pos:R:3 comment="BaSrNF2 (SCAN, PBEsol geometry)" raw_formation_energy_kj_per_mol_fu=-862.8 rho_g_cm3=2.11 magmom_total_mub_per_atom=0.2005 pbc="T T T"
F 0.348 -1.384 1.652
F -2.152 -0.322 0.184
N -2.135 2.622 5.533
Sr 0.000 0.000 0.000
Ba -0.332 4.328 3.696

***

5
Lattice="5.207 0.000 0.000 0.000 5.207 0.000 0.000 0.000 6.955" Properties=species:S:1:pos:R:3 comment="BaTeN2F (SCAN, PBEsol geometry)" raw_formation_energy_kj_per_mol_fu=572.0 rho_g_cm3=2.75 magmom_total_mub_per_atom=1.4005 pbc="T T T"
F 2.603 2.603 3.478
Ba 0.000 0.000 0.000
N 2.603 0.000 0.000
N 0.000 2.603 0.000
Te 0.000 0.000 3.478